DFT (GGA-PBE) results for an optimized crystal structure of KRb2MoS4.

Cell lengths 8.1535, 8.1535, 8.4889 Å; angles 90.00, 90.00, 90.00 degrees
Last column: nearest neighbours and their distance in Å.
Space group I-4 (No. 82)
Symmetry-distinct sites (fractional):
K  0.0000  0.0000  0.0000 (multiplicity 2)  4 S 3.10
Rb  0.0000  0.0000  0.5000 (multiplicity 2)  4 S 3.25
Rb  0.0000  0.5000  0.7500 (multiplicity 2)  4 S 3.51
Mo  0.0000  0.5000  0.2500 (multiplicity 2)  4 S 2.25
S  0.1540  0.3317  0.1003 (multiplicity 8)  1 Mo 2.25

Properties
calculated density: 2.56 g/cm3
formation energy without anion corrections: -0.936 eV per atom
crystal system: tetragonal
raw total energy: -4.7331 eV per atom
size of the total moment: 2.03 Bohr magnetons per cell